(1)
Density functional theory data (GGA-PBE) for a geometry-optimized Cs4TeF structure. Values from VASP.

The structure in Quantum ESPRESSO input format:
```
&SYSTEM
  ibrav = 0, nat = 6, ntyp = 3
/
ATOMIC_SPECIES
Te 127.60 Te.upf
F 19.00 F.upf
Cs 132.91 Cs.upf
ATOMIC_POSITIONS angstrom
Te 3.543 -10.002 3.411
F 3.412 -4.770 2.441
Cs 1.108 -6.513 3.420
Cs 4.982 -7.066 1.554
Cs 2.281 -3.271 0.213
Cs 1.007 -6.702 -2.508
CELL_PARAMETERS angstrom
-4.789 -3.339 0.197
2.975 -4.505 -4.029
4.633 -6.334 5.228
```

Calculated values
The value obtained for the total magnetic moment is 0.06 μB/f.u. The calculation puts the volume at 58.28 Å³/atom. The value obtained for the density is 3.221 g cm⁻³. Its formation energy without anion corrections is -7.9 eV/f.u. For the density of states at the Fermi level, the calculation gives 2.01 states/eV per cell.



(2)
Density functional theory data (GGA-PBE) for a geometry-optimized Cs3TeF7 structure. Values from VASP.

The structure in Quantum ESPRESSO input format:
```
&SYSTEM
  ibrav = 0, nat = 22, ntyp = 3
/
ATOMIC_SPECIES
F 19.00 F.upf
Cs 132.91 Cs.upf
Te 127.60 Te.upf
ATOMIC_POSITIONS angstrom
F 0.000 1.481 5.896
F 1.530 3.406 7.821
F 5.073 5.425 1.010
Cs 3.301 1.717 6.133
Cs 3.301 2.698 1.717
F 5.073 3.406 7.821
Te 0.000 0.000 4.415
Te 0.000 4.415 0.000
F 5.073 7.821 5.425
F 1.530 5.425 1.010
F 5.073 1.010 3.406
Cs 3.301 7.113 2.698
F 3.301 4.415 4.415
F 0.000 2.934 1.481
F 1.530 7.821 5.425
Cs 3.301 6.133 7.113
Cs 0.000 4.415 4.415
F 3.301 0.000 0.000
F 0.000 7.349 2.934
F 1.530 1.010 3.406
F 0.000 5.896 7.349
Cs 0.000 0.000 0.000
CELL_PARAMETERS angstrom
6.603 0.000 0.000
0.000 8.830 0.000
0.000 0.000 8.830
```

Calculated values
The value obtained for the total magnetic moment is 0.09 μB/f.u. The calculation puts the volume at 23.40 Å³/atom. The value obtained for the density is 4.253 g cm⁻³. Its formation energy without anion corrections is -27.8 eV/f.u. For the density of states at the Fermi level, the calculation gives 0.00 states/eV per cell.



(3)
Density functional theory data (GGA-PBE) for a geometry-optimized CsTe2F structure. Values from VASP.

The structure in Quantum ESPRESSO input format:
```
&SYSTEM
  ibrav = 0, nat = 4, ntyp = 3
/
ATOMIC_SPECIES
Te 127.60 Te.upf
Cs 132.91 Cs.upf
F 19.00 F.upf
ATOMIC_POSITIONS angstrom
Te 1.047 0.686 1.940
Cs 3.090 2.024 5.723
Te 5.133 3.362 9.507
F 0.000 0.000 0.000
CELL_PARAMETERS angstrom
1.641 4.881 2.793
-0.563 -0.320 5.822
5.102 -0.513 2.832
```

Calculated values
The value obtained for the total magnetic moment is 0.00 μB/f.u. As for the energy above the most stable polymorph in this dataset: 233 meV/atom. The calculation puts the volume at 40.39 Å³/atom. The value obtained for the density is 4.184 g cm⁻³. Its formation energy without anion corrections is -2.1 eV/f.u. For the density of states at the Fermi level, the calculation gives 2.36 states/eV per cell.



(4)
Density functional theory data (GGA-PBE) for a geometry-optimized CsTe2F structure. Values from VASP.

The structure in Quantum ESPRESSO input format:
```
&SYSTEM
  ibrav = 0, nat = 4, ntyp = 3
/
ATOMIC_SPECIES
Cs 132.91 Cs.upf
Te 127.60 Te.upf
F 19.00 F.upf
ATOMIC_POSITIONS angstrom
Cs 0.000 0.000 0.000
Te -4.364 5.690 0.809
F -9.480 12.360 1.757
Te -14.596 19.030 2.705
CELL_PARAMETERS angstrom
-7.398 7.644 -0.453
-6.832 7.582 3.032
-4.729 9.493 0.935
```

Calculated values
The value obtained for the total magnetic moment is 0.00 μB/f.u. As for the energy above the most stable polymorph in this dataset: 540 meV/atom. The calculation puts the volume at 28.21 Å³/atom. The value obtained for the density is 5.991 g cm⁻³. Its formation energy without anion corrections is -0.9 eV/f.u. For the density of states at the Fermi level, the calculation gives 4.15 states/eV per cell.



(5)
Density functional theory data (GGA-PBE) for a geometry-optimized Cs4TeF2 structure. Values from VASP.

The structure in Quantum ESPRESSO input format:
```
&SYSTEM
  ibrav = 0, nat = 14, ntyp = 3
/
ATOMIC_SPECIES
Cs 132.91 Cs.upf
F 19.00 F.upf
Te 127.60 Te.upf
ATOMIC_POSITIONS angstrom
Cs -3.107 7.331 0.874
F -6.856 6.205 4.625
Cs -1.439 3.102 2.036
Cs -5.476 4.430 2.875
F -2.463 5.535 3.524
Te -4.500 1.454 4.976
Cs -4.710 0.340 1.379
F -7.871 11.627 6.608
Cs -3.843 7.310 5.274
Cs -4.609 11.400 6.770
Te -4.819 10.286 3.173
F -1.448 0.113 1.541
Cs -7.880 8.638 6.113
Cs -1.788 0.287 -1.701
CELL_PARAMETERS angstrom
-3.577 0.575 -3.403
-3.105 -2.922 6.400
-2.637 14.087 5.152
```

Calculated values
The value obtained for the total magnetic moment is 0.00 μB/f.u. As for the energy above the most stable polymorph in this dataset: 11 meV/atom. The calculation puts the volume at 39.35 Å³/atom. The value obtained for the density is 4.204 g cm⁻³. Its formation energy without anion corrections is -13.3 eV/f.u. For the density of states at the Fermi level, the calculation gives 0.00 states/eV per cell.



(6)
Density functional theory data (GGA-PBE) for a geometry-optimized CsTlTeF6 structure. Values from VASP.

The structure in Quantum ESPRESSO input format:
```
&SYSTEM
  ibrav = 0, nat = 9, ntyp = 4
/
ATOMIC_SPECIES
F 19.00 F.upf
Te 127.60 Te.upf
Tl 204.38 Tl.upf
Cs 132.91 Cs.upf
ATOMIC_POSITIONS angstrom
F 4.557 0.954 1.510
F 1.924 1.440 1.508
F 5.337 2.639 3.458
F 3.661 3.476 1.507
F 8.576 3.323 3.457
Te 3.380 1.958 2.785
F 6.370 5.785 3.457
Tl 6.761 3.915 1.507
Cs 3.384 5.860 4.136
CELL_PARAMETERS angstrom
6.760 0.009 -0.001
3.385 5.859 -0.003
-0.003 0.004 4.669
```

Calculated values
The value obtained for the total magnetic moment is 0.00 μB/f.u. The calculation puts the volume at 20.53 Å³/atom. The value obtained for the density is 5.202 g cm⁻³. Its formation energy without anion corrections is -20.4 eV/f.u. For the density of states at the Fermi level, the calculation gives 0.00 states/eV per cell.



(7)
Density functional theory data (GGA-PBE) for a geometry-optimized Cs2TlTeF6 structure. Values from VASP.

The structure in Quantum ESPRESSO input format:
```
&SYSTEM
  ibrav = 0, nat = 20, ntyp = 4
/
ATOMIC_SPECIES
F 19.00 F.upf
Tl 204.38 Tl.upf
Cs 132.91 Cs.upf
Te 127.60 Te.upf
ATOMIC_POSITIONS angstrom
F -9.173 3.198 1.711
F -9.812 1.008 4.880
F -8.925 5.852 0.780
Tl -10.469 3.637 4.434
F -6.612 8.997 0.780
F -7.499 4.154 4.880
Cs -6.839 0.847 3.357
F -12.811 3.767 3.008
F -10.788 4.922 6.839
F -7.251 6.807 3.949
Te -8.212 5.003 2.830
Cs -9.585 9.158 2.302
F -9.981 6.436 3.332
F -3.612 6.239 2.651
Cs -3.887 2.634 1.259
Cs -12.537 7.372 4.400
F -5.636 5.084 -1.179
Te 0.000 0.000 0.000
Tl -5.955 6.369 1.226
F -6.443 3.570 2.328
CELL_PARAMETERS angstrom
-1.608 6.449 3.230
-4.943 4.546 -3.084
-9.872 -0.989 5.514
```

Calculated values
The value obtained for the total magnetic moment is 0.00 μB/f.u. As for the energy above the most stable polymorph in this dataset: 0 meV/atom. The calculation puts the volume at 24.87 Å³/atom. The value obtained for the density is 4.752 g cm⁻³. Its formation energy without anion corrections is -21.8 eV/f.u.



(8)
Density functional theory data (GGA-PBE) for a geometry-optimized Cs2TlTeF structure. Values from VASP.

The structure in Quantum ESPRESSO input format:
```
&SYSTEM
  ibrav = 0, nat = 5, ntyp = 4
/
ATOMIC_SPECIES
F 19.00 F.upf
Cs 132.91 Cs.upf
Te 127.60 Te.upf
Tl 204.38 Tl.upf
ATOMIC_POSITIONS angstrom
F 0.000 0.000 0.000
Cs 0.000 2.886 0.000
Cs 2.886 0.000 0.000
Te 2.886 2.886 2.848
Tl 0.000 0.000 2.848
CELL_PARAMETERS angstrom
5.772 0.000 0.000
0.000 5.772 0.000
0.000 0.000 5.695
```

Calculated values
The value obtained for the total magnetic moment is 0.00 μB/f.u. The calculation puts the volume at 37.95 Å³/atom. The value obtained for the density is 5.397 g cm⁻³. Its formation energy without anion corrections is -6.9 eV/f.u.



(9)
Density functional theory data (GGA-PBE) for a geometry-optimized Cs2TlTeF6 structure. Values from VASP.

The structure in Quantum ESPRESSO input format:
```
&SYSTEM
  ibrav = 0, nat = 10, ntyp = 4
/
ATOMIC_SPECIES
F 19.00 F.upf
Cs 132.91 Cs.upf
Tl 204.38 Tl.upf
Te 127.60 Te.upf
ATOMIC_POSITIONS angstrom
F -1.782 -1.068 -1.716
F -4.044 -0.005 -3.336
Cs -5.446 -5.486 -2.237
Tl 0.000 0.000 0.000
F -4.568 -2.738 -4.397
F -4.881 -2.380 -0.987
Cs -7.427 -1.159 -2.873
F -7.991 -4.265 -4.122
F -2.306 -3.801 -2.778
Te -3.175 -1.903 -3.057
CELL_PARAMETERS angstrom
-5.156 2.423 -3.693
-1.194 -6.229 -2.420
-6.523 -2.839 1.004
```

Calculated values
The value obtained for the total magnetic moment is 1.00 μB/f.u. As for the energy above the most stable polymorph in this dataset: 11 meV/atom. The calculation puts the volume at 24.64 Å³/atom. The value obtained for the density is 4.798 g cm⁻³. Its formation energy without anion corrections is -21.7 eV/f.u. For the density of states at the Fermi level, the calculation gives 0.00 states/eV per cell.



(10)
Density functional theory data (GGA-PBE) for a geometry-optimized CsUTe2F structure. Values from VASP.

The structure in Quantum ESPRESSO input format:
```
&SYSTEM
  ibrav = 0, nat = 10, ntyp = 4
/
ATOMIC_SPECIES
F 19.00 F.upf
Cs 132.91 Cs.upf
Te 127.60 Te.upf
U 238.03 U.upf
ATOMIC_POSITIONS angstrom
F -0.188 -4.299 6.782
Cs -2.185 -2.043 7.054
Te -3.055 -6.321 5.416
Cs -1.390 -5.415 1.909
Te 0.806 -1.265 9.666
Te -0.520 -1.136 3.547
U -3.165 -1.061 2.049
F -3.387 -3.158 2.181
U -0.410 -6.397 6.914
Te -4.381 -6.193 -0.703
CELL_PARAMETERS angstrom
-4.378 0.522 0.960
-1.455 -8.186 -2.185
2.259 0.206 10.188
```

Calculated values
The value obtained for the total magnetic moment is 2.00 μB/f.u. The calculation puts the volume at 38.58 Å³/atom. The value obtained for the density is 5.553 g cm⁻³. Its formation energy without anion corrections is -8.1 eV/f.u. For the density of states at the Fermi level, the calculation gives 11.60 states/eV per cell.